A geometry-optimized PaSiNiPt structure, computed with GGA-PBE.

Properties
Space-group type: F-43m
Uncorrected formation energy in eV/atom: -0.41
Density in g cm⁻³: 12.73
Energy in eV per atom: -7.09

abc: 4.5573 4.5573 4.5573
angles: 60.00 60.00 60.00
With the nearest neighbours (Å) after each atom.
Element x y z (fractional)
Pa 0.0000 0.0000 0.0000  4 Ni 2.79, 4 Si 2.79
Si 0.7500 0.7500 0.7500  4 Pa 2.79, 4 Pt 2.79
Ni 0.2500 0.2500 0.2500  4 Pa 2.79, 4 Pt 2.79
Pt 0.5000 0.5000 0.5000  4 Ni 2.79, 4 Si 2.79

---

A geometry-optimized Pa2Si3NiPt4 structure, computed with GGA-PBE.

Properties
Space-group type: P-4m2
Uncorrected formation energy in eV/atom: -0.87
Density in g cm⁻³: 13.26
Energy in eV per atom: -7.39

abc: 4.1678 4.1678 9.9848
angles: 90.00 90.00 90.00
With the nearest neighbours (Å) after each atom.
Element x y z (fractional)
Pa 0.0000 0.5000 0.2397  8 Pt 3.13-3.33, 2 Ni 3.17, 6 Si 3.17-3.22
Pa 0.5000 0.0000 0.7603  8 Pt 3.13-3.33, 2 Ni 3.17, 6 Si 3.17-3.22
Si 0.0000 0.0000 0.0000  4 Pt 2.48
Si 0.0000 0.5000 0.6304  5 Pt 2.34-2.46
Si 0.5000 0.0000 0.3696  5 Pt 2.34-2.46
Ni 0.5000 0.5000 0.0000  4 Pt 2.48
Pt 0.0000 0.0000 0.5000  4 Si 2.46
Pt 0.0000 0.5000 0.8646  3 Si 2.34-2.48, 2 Ni 2.48
Pt 0.5000 0.0000 0.1354  3 Si 2.34-2.48, 2 Ni 2.48
Pt 0.5000 0.5000 0.5000  4 Si 2.46

---

A geometry-optimized Pa2Si3Ni4Pt structure, computed with GGA-PBE.

Properties
Space-group type: P-4m2
Uncorrected formation energy in eV/atom: -0.74
Density in g cm⁻³: 10.58
Energy in eV per atom: -7.18

abc: 3.8439 3.8439 10.3666
angles: 90.00 90.00 90.00
With the nearest neighbours (Å) after each atom.
Element x y z (fractional)
Pa 0.0000 0.5000 0.2501  4 Ni 2.87, 4 Si 3.04
Pa 0.5000 0.0000 0.7499  4 Ni 2.87, 4 Si 3.04
Si 0.0000 0.0000 0.0000  4 Ni 2.56, 4 Pt 2.72
Si 0.0000 0.5000 0.6191  5 Ni 2.26-2.28
Si 0.5000 0.0000 0.3809  5 Ni 2.26-2.28
Ni 0.0000 0.0000 0.5000  4 Si 2.28
Ni 0.0000 0.5000 0.8374  1 Si 2.26
Ni 0.5000 0.0000 0.1626  1 Si 2.26
Ni 0.5000 0.5000 0.5000  4 Si 2.28
Pt 0.5000 0.5000 0.0000  4 Ni 2.56, 4 Si 2.72

---

A geometry-optimized Pa2Si4NiPt3 structure, computed with GGA-PBE.

Properties
Space-group type: P-4m2
Uncorrected formation energy in eV/atom: -0.92
Density in g cm⁻³: 11.90
Energy in eV per atom: -7.38

abc: 4.2009 4.2009 9.6336
angles: 90.00 90.00 90.00
With the nearest neighbours (Å) after each atom.
Element x y z (fractional)
Pa 0.0000 0.5000 0.2430  2 Ni 3.14, 6 Pt 3.14-3.23, 8 Si 3.18-3.25
Pa 0.5000 0.0000 0.7570  6 Pt 3.14-3.23, 2 Ni 3.14, 8 Si 3.18-3.25
Si 0.0000 0.0000 0.5000  4 Pt 2.42
Si 0.0000 0.5000 0.8738  3 Pt 2.40-2.43, 2 Ni 2.43
Si 0.5000 0.0000 0.1262  3 Pt 2.40-2.43, 2 Ni 2.43
Si 0.5000 0.5000 0.5000  4 Pt 2.42
Ni 0.5000 0.5000 0.0000  4 Si 2.43
Pt 0.0000 0.0000 0.0000  4 Si 2.43
Pt 0.0000 0.5000 0.6247  5 Si 2.40-2.42
Pt 0.5000 0.0000 0.3753  5 Si 2.40-2.42